# LiMnNi, optimized geometry, DFT PBE
# formation enthalpy at 0 K: 0.36 eV/atom
# E: -5.26 eV/atom
data_LiMnNi
_cell_length_a 4.0953
_cell_length_b 4.0953
_cell_length_c 2.3224
_cell_angle_alpha 90.00
_cell_angle_beta 90.00
_cell_angle_gamma 120.00
_symmetry_space_group_name_H-M 'P -6 m 2'
_symmetry_Int_Tables_number 187
_symmetry_space_group_name_Hall 'P -6 2'
loop_
_atom_site_label
_atom_site_type_symbol
_atom_site_fract_x
_atom_site_fract_y
_atom_site_fract_z
Li1 Li 0.0000 0.0000 0.0000
Mn1 Mn 0.3333 0.6667 0.5000
Ni1 Ni 0.6667 0.3333 0.5000